(1)
DFT (PBE) results for crystalline Mg4Mn3 at its relaxed geometry.

a = 2.9676 Å, b = 2.9676 Å, c = 28.6698 Å
α = 90.00°, β = 90.00°, γ = 90.00°
With the nearest neighbours (Å) after each atom.
Space group I4/mmm (No. 139)
One atom of each set of equivalent atoms:
Mg (0.0000, 0.0000, 0.0661)  4 Mn 2.83, 4 Mg 2.97
Mg (0.0000, 0.0000, 0.3479)  4 Mn 2.89, 4 Mg 2.97
Mn (0.0000, 0.0000, 0.2214)  8 Mn 2.66-2.97, 4 Mg 2.89
Mn (0.0000, 0.0000, 0.5000)  8 Mg 2.83, 4 Mn 2.97

Properties
- Excess energy over the best structure of this formula in the dataset: 0.000 eV per atom
- Formation energy from the elements: 233.8 meV/atom

(2)
DFT (PBE) results for crystalline MgMn2 at its relaxed geometry.

a = 3.9743 Å, b = 3.9743 Å, c = 23.8692 Å
α = 90.00°, β = 90.00°, γ = 90.00°
With the nearest neighbours (Å) after each atom.
Space group I4_1/amd (No. 141, origin choice 2)
One atom of each set of equivalent atoms:
Mg (0.0000, 0.2500, 0.2942)  10 Mn 2.76-2.94, 2 Mg 2.90
Mn (0.0000, 0.2500, 0.1243)  8 Mn 2.72-2.81, 4 Mg 2.76-2.78
Mn (0.0000, 0.2500, 0.7967)  6 Mn 2.72-2.99, 6 Mg 2.81-2.94

Properties
- Formation energy from the elements: 382.6 meV/atom

(3)
DFT (PBE) results for crystalline Mg2Mn at its relaxed geometry.

a = 4.7688 Å, b = 4.7688 Å, c = 2.9022 Å
α = 90.00°, β = 90.00°, γ = 120.00°
With the nearest neighbours (Å) after each atom.
Space group P6/mmm (No. 191)
One atom of each set of equivalent atoms:
Mg (0.3333, 0.6667, 0.0000)  5 Mg 2.75-2.90
Mn (0.0000, 0.0000, 0.5000)  2 Mn 2.90, 12 Mg 3.11

Properties
- Formation energy from the elements: 285.5 meV/atom

(4)
DFT (PBE) results for crystalline MgMn3 at its relaxed geometry.

a = 2.8180 Å, b = 3.3241 Å, c = 5.8668 Å
α = 90.00°, β = 90.00°, γ = 90.00°
With the nearest neighbours (Å) after each atom.
Space group Pmmm (No. 47)
One atom of each set of equivalent atoms:
Mg (0.0000, 0.0000, 0.0000)  10 Mn 2.74-2.93, 2 Mg 2.82
Mn (0.0000, 0.0000, 0.5000)  10 Mn 2.53-2.82
Mn (0.5000, 0.5000, 0.2823)  7 Mn 2.53-2.82, 4 Mg 2.74

Properties
- Formation energy from the elements: 255.7 meV/atom

(5)
DFT (PBE) results for crystalline Mg2Mn at its relaxed geometry.

a = 2.9747 Å, b = 4.3206 Å, c = 8.9026 Å
α = 90.00°, β = 90.00°, γ = 90.00°
With the nearest neighbours (Å) after each atom.
Space group Immm (No. 71)
One atom of each set of equivalent atoms:
Mg (0.0000, 0.0000, 0.1610)  7 Mg 2.87-3.06, 5 Mn 2.99-3.02
Mn (0.0000, 0.0000, 0.5000)  2 Mn 2.97, 10 Mg 2.99-3.02

Properties
- Formation energy from the elements: 245.1 meV/atom

(6)
DFT (PBE) results for crystalline MgMn2 at its relaxed geometry.

a = 5.6014 Å, b = 3.9813 Å, c = 8.3201 Å
α = 90.00°, β = 90.00°, γ = 90.00°
With the nearest neighbours (Å) after each atom.
Space group Pnma (No. 62)
One atom of each set of equivalent atoms:
Mg (0.1292, 0.2500, 0.0899)  10 Mn 2.69-2.91, 2 Mg 2.88
Mn (0.1098, 0.2500, 0.4221)  7 Mn 2.67-2.91, 5 Mg 2.69-2.91
Mn (0.1214, 0.2500, 0.7424)  7 Mn 2.67-2.91, 5 Mg 2.74-2.89

Properties
- Formation energy from the elements: 384.8 meV/atom

(7)
DFT (PBE) results for crystalline MgMn2 at its relaxed geometry.

a = 3.5972 Å, b = 3.5972 Å, c = 13.6619 Å
α = 90.00°, β = 90.00°, γ = 90.00°
With the nearest neighbours (Å) after each atom.
Space group I4_1/amd (No. 141, origin choice 2)
One atom of each set of equivalent atoms:
Mg (0.0000, 0.2500, 0.3750)  12 Mn 2.79-2.90
Mn (0.0000, 0.2500, 0.7919)  3 Mn 2.13-2.27

Properties
- Formation energy from the elements: 637.1 meV/atom

(8)
DFT (PBE) results for crystalline MgMn at its relaxed geometry.

a = 5.3876 Å, b = 5.3876 Å, c = 5.4574 Å
α = 90.00°, β = 90.00°, γ = 90.00°
With the nearest neighbours (Å) after each atom.
Space group P4_2/mnm (No. 136)
One atom of each set of equivalent atoms:
Mg (0.1884, 0.1884, 0.0000)  6 Mn 2.73-2.85, 1 Mg 2.87
Mn (0.1769, 0.1769, 0.5000)  1 Mn 2.70, 6 Mg 2.73-2.85

Properties
- Formation energy from the elements: 722.9 meV/atom